1.
## PuCl4F2 (PBE)

Data for PuCl4F2 after structural relaxation.

a b c (Å): 5.9553 5.9795 6.8270
angles (deg): 81.72 66.14 75.76
Closest atoms and distances in Å follow each position.
Space group P-1 (No. 2)
Inequivalent atoms, fractional coordinates:
Pu  0.0000  0.0000  0.0000 (multiplicity 1)  2 F 2.00
Cl  0.0960  0.7467  0.2873 (multiplicity 2)  1 Pu 2.47
Cl  0.3626  0.7670  0.7269 (multiplicity 2)  1 Pu 2.47
F  0.2191  0.2037  0.0021 (multiplicity 2)  1 Pu 2.00

2.
## PuCl2F (PBE)

Data for PuCl2F after structural relaxation.

a b c (Å): 3.7991 8.3800 6.8024
angles (deg): 90.00 105.78 90.00
Closest atoms and distances in Å follow each position.
Space group P2_1/m (No. 11)
Inequivalent atoms, fractional coordinates:
Pu  0.2435  0.2500  0.4867 (multiplicity 2)  2 F 2.27
Cl  0.1468  0.5568  0.2879 (multiplicity 4)  3 Pu 2.88-2.90, 3 F 3.17-3.20
F  0.3494  0.7500  0.7041 (multiplicity 2)  2 Pu 2.27

Distance to the lowest polymorph of the same formula: 0 meV per atom

3.
## Pu3Cl7F (PBE)

Data for Pu3Cl7F after structural relaxation.

a b c (Å): 8.1771 8.1771 6.2876
angles (deg): 90.00 90.00 120.00
Closest atoms and distances in Å follow each position.
Space group P3m1 (No. 156)
Inequivalent atoms, fractional coordinates:
Pu  0.0084  0.5042  0.0000 (multiplicity 3)  1 F 2.45, 4 Cl 2.74
Cl  0.1749  0.3497  0.7573 (multiplicity 3)  2 Pu 2.74
Cl  0.3497  0.1749  0.2274 (multiplicity 3)  2 Pu 2.74
Cl  0.6667  0.3333  0.7663 (multiplicity 1)  3 Pu 2.83
F  0.3333  0.6667  0.1350 (multiplicity 1)  3 Pu 2.45

4.
## Pu4Cl5F2 (PBE)

Data for Pu4Cl5F2 after structural relaxation.

a b c (Å): 18.4988 3.4336 8.2733
angles (deg): 90.00 91.92 90.00
Closest atoms and distances in Å follow each position.
Space group C2/m (No. 12)
Inequivalent atoms, fractional coordinates:
Pu  0.0538  0.0000  0.2390 (multiplicity 4)  2 F 2.32
Pu  0.2397  0.0000  0.9061 (multiplicity 4)  2 Pu 2.34
Cl  0.0000  0.5000  0.5000 (multiplicity 2)  4 Pu 2.96
Cl  0.0829  0.0000  0.9121 (multiplicity 4)  3 Pu 2.78-2.90
Cl  0.2094  0.5000  0.6644 (multiplicity 4)  2 Pu 2.68
F  0.1384  0.5000  0.2509 (multiplicity 4)  2 Pu 2.32

5.
## PuClF (PBE)

Data for PuClF after structural relaxation.

a b c (Å): 4.2194 4.2194 3.8278
angles (deg): 90.00 90.00 120.00
Closest atoms and distances in Å follow each position.
Space group P-6m2 (No. 187)
Inequivalent atoms, fractional coordinates:
Pu  0.0000  0.0000  0.0000 (multiplicity 1)  3 F 2.44
Cl  0.6667  0.3333  0.5000 (multiplicity 1)  6 Pu 3.10, 6 F 3.10
F  0.3333  0.6667  0.0000 (multiplicity 1)  3 Pu 2.44

Distance to the lowest polymorph of the same formula: 0 meV per atom

6.
## Pu4Cl5F4 (PBE)

Data for Pu4Cl5F4 after structural relaxation.

a b c (Å): 11.1496 11.1496 4.1081
angles (deg): 90.00 90.00 90.00
Closest atoms and distances in Å follow each position.
Space group I4/m (No. 87)
Inequivalent atoms, fractional coordinates:
Pu  0.0484  0.7324  0.0000 (multiplicity 8)  3 F 2.46-2.48
Cl  0.0000  0.0000  0.0000 (multiplicity 2)  4 Pu 3.03
Cl  0.1349  0.2051  0.5000 (multiplicity 8)  5 Pu 2.96-3.08, 4 F 3.13-3.15
F  0.0815  0.6127  0.5000 (multiplicity 8)  3 Pu 2.46-2.48

7.
## Pu2Cl8F (PBE)

Data for Pu2Cl8F after structural relaxation.

a b c (Å): 12.6708 8.2764 8.2186
angles (deg): 90.00 107.31 90.00
Closest atoms and distances in Å follow each position.
Space group C2/m (No. 12)
Inequivalent atoms, fractional coordinates:
Pu  0.1792  0.0000  0.0011 (multiplicity 4)  1 F 2.27, 2 Cl 2.47
Cl  0.1195  0.0000  0.6868 (multiplicity 4)  1 Pu 2.47
Cl  0.1348  0.3139  0.0005 (multiplicity 8)  2 Pu 2.66-2.82
Cl  0.2412  0.0000  0.3156 (multiplicity 4)  1 Pu 2.47
F  0.0000  0.0000  0.0000 (multiplicity 2)  2 Pu 2.27

8.
## PuCl2F6 (PBE)

Data for PuCl2F6 after structural relaxation.

a b c (Å): 5.2534 5.6755 7.0348
angles (deg): 90.96 105.42 91.70
Closest atoms and distances in Å follow each position.
Space group P-1 (No. 2)
Inequivalent atoms, fractional coordinates:
Pu  0.0000  0.0000  0.0000 (multiplicity 1)  6 F 2.01-2.03
Cl  0.3792  0.5765  0.5659 (multiplicity 2)  1 Cl 1.97
F  0.0581  0.8383  0.7558 (multiplicity 2)  1 Pu 2.03
F  0.1507  0.3052  0.9272 (multiplicity 2)  1 Pu 2.01
F  0.3625  0.9126  0.1590 (multiplicity 2)  1 Pu 2.02

Taking the records one at a time from the top gives E_tot values of -37.7, -29.7, -80.6, -90.1, -25.3, -106.8, -64.0, -49.2 eV/f.u..
Taking the records one at a time from the top gives formation energy (no corrections) values of -1742, -2454, -2070, -1801, -2430, -2518, -1696, -2222 meV/atom.